[1]
Compound: Pr8Ag2Ru3
Source: Alexandria via LeMat-Bulk
Functional: PBE
Structure: relaxed

Results
energy of formation from the pure elements: -0.11 eV/atom
crystal system: monoclinic
mass density: 7.18 g/cm³
calculated volume: 380.9 Å³/cell

a = 5.0426 Å, b = 10.1303 Å, c = 9.0181 Å
α = 124.23°, β = 90.00°, γ = 90.00°
Fractional positions:
Pr 0.0000 0.6111 0.2235
Pr 0.0000 0.3889 0.7765
Pr 0.0000 0.1143 0.2298
Pr 0.0000 0.8857 0.7702
Pr 0.5000 0.6396 0.7734
Pr 0.5000 0.1359 0.7751
Pr 0.5000 0.8641 0.2249
Pr 0.5000 0.3604 0.2266
Ag 0.5000 0.2530 0.5069
Ag 0.5000 0.7470 0.4931
Ru 0.5000 0.0000 0.0000
Ru 0.0000 0.2502 0.0004
Ru 0.0000 0.7498 0.9996



[2]
Compound: SrDyAl
Source: Alexandria via LeMat-Bulk
Functional: PBE
Structure: relaxed

Results
energy of formation from the pure elements: -0.11 eV/atom
crystal system: tetragonal
mass density: 4.64 g/cm³
calculated volume: 198.5 Å³/cell
excess energy over the best structure of this formula in the dataset: 0 meV per atom

a = 3.8185 Å, b = 3.8185 Å, c = 13.8783 Å
α = 97.91°, β = 97.91°, γ = 90.00°
Each line ends with the local moment (μB).
Fractional positions:
Dy 0.2906 0.2906 0.5812  0.28
Dy 0.7094 0.7094 0.4188  0.28
Al 0.1535 0.1535 0.3070  -0.01
Al 0.8465 0.8465 0.6930  -0.01
Sr 0.5748 0.5748 0.1495  0.01
Sr 0.4252 0.4252 0.8505  0.01



[3]
Compound: Mg2VB2Os5
Source: Alexandria via LeMat-Bulk
Functional: PBE
Structure: relaxed

Results
energy of formation from the pure elements: -0.07 eV/atom
crystal system: tetragonal
mass density: 13.54 g/cm³
calculated volume: 263.1 Å³/cell

a = 2.9446 Å, b = 9.4522 Å, c = 9.4522 Å
α = 90.00°, β = 90.00°, γ = 90.00°
Fractional positions:
Mg 0.0000 0.6766 0.1766
Mg 0.0000 0.3234 0.8234
Mg 0.0000 0.1766 0.3234
Mg 0.0000 0.8234 0.6766
V 0.0000 0.0000 0.0000
V 0.0000 0.5000 0.5000
B 0.0000 0.1243 0.6243
B 0.0000 0.8757 0.3757
B 0.0000 0.6243 0.8757
B 0.0000 0.3757 0.1243
Os 0.5000 0.2122 0.0694
Os 0.5000 0.7878 0.9306
Os 0.5000 0.0694 0.7878
Os 0.5000 0.7122 0.4306
Os 0.5000 0.9306 0.2122
Os 0.5000 0.2878 0.5694
Os 0.5000 0.5694 0.7122
Os 0.5000 0.4306 0.2878
Os 0.5000 0.5000 0.0000
Os 0.5000 0.0000 0.5000